Entry 1:
Computed, not measured: a relaxed AlAuSe crystal at the PBE level of DFT.

Uncorrected formation energy = -0.0444 eV per atom
Total magnetic moment = 0.00 μB/f.u.
Calculated total energy = -10.6 eV/f.u.

Cell: 6.382 6.382 6.382 Å, 151.15 151.15 41.25°
Fractional coordinates of all 3 atoms:
1 Au 0.368 0.368 0.000
2 Se 0.626 0.626 0.000
3 Al 0.006 0.006 0.000

=====

Entry 2:
Computed, not measured: a relaxed ReNiSe crystal at the PBE level of DFT.

Uncorrected formation energy = 0.2567 eV per atom
Total magnetic moment = 0.00 μB/f.u.
Calculated total energy = -20.9 eV/f.u.

Cell: 3.011 3.011 6.022 Å, 90.00 90.00 120.00°
Fractional coordinates of all 3 atoms:
1 Re 0.667 0.333 0.074
2 Se 0.333 0.667 0.371
3 Ni 0.333 0.667 0.765

=====

Entry 3:
Computed, not measured: a relaxed Ti3AuC crystal at the PBE level of DFT.

Energy relative to the elements = -534 meV/atom
Total magnetic moment = 0.00 μB/f.u.
Calculated total energy = -38.9 eV/f.u.

Cell: 5.879 5.141 5.142 Å, 107.10 89.92 89.92°
Fractional coordinates of all 10 atoms:
1 Ti 0.930 0.647 0.605
2 Ti 0.930 0.147 0.105
3 Ti 0.439 0.148 0.106
4 Ti 0.685 0.148 0.606
5 Ti 0.439 0.648 0.606
6 Ti 0.685 0.648 0.106
7 Au 0.185 0.148 0.606
8 Au 0.185 0.648 0.105
9 C 0.685 0.898 0.855
10 C 0.685 0.398 0.356

=====

Entry 4:
Computed, not measured: a relaxed Tm11Pd9Pt4 crystal at the PBE level of DFT.

Energy relative to the elements = -1019 meV/atom
Total magnetic moment = 0.00 μB/f.u.
Calculated total energy = -144.5 eV/f.u.

Cell: 3.479 12.381 12.381 Å, 112.19 90.00 90.00°
Fractional coordinates of all 24 atoms:
1 Tm 0.000 0.069 0.411
2 Tm 0.000 0.825 0.175
3 Tm 0.000 0.000 0.000
4 Tm 0.000 0.738 0.738
5 Tm 0.000 0.931 0.589
6 Tm 0.000 0.175 0.825
7 Tm 0.000 0.411 0.069
8 Tm 0.000 0.368 0.632
9 Tm 0.000 0.589 0.931
10 Tm 0.000 0.632 0.368
11 Tm 0.000 0.262 0.262
12 Pd 0.500 0.852 0.374
13 Pd 0.500 0.374 0.852
14 Pd 0.500 0.965 0.798
15 Pd 0.500 0.626 0.148
16 Pd 0.500 0.798 0.965
17 Pd 0.500 0.148 0.626
18 Pd 0.500 0.035 0.202
19 Pd 0.500 0.500 0.500
20 Pd 0.500 0.202 0.035
21 Pt 0.500 0.748 0.562
22 Pt 0.500 0.562 0.748
23 Pt 0.500 0.252 0.438
24 Pt 0.500 0.438 0.252

=====

Entry 5:
Computed, not measured: a relaxed EuPuNF crystal at the PBE level of DFT.

Uncorrected formation energy = -1.3032 eV per atom
Total magnetic moment = 13.00 μB/f.u.
Calculated total energy = -40.0 eV/f.u.

Cell: 4.439 4.439 4.439 Å, 60.00 60.00 60.00°
Fractional coordinates of all 4 atoms:
1 Eu 0.250 0.250 0.250
2 F 0.000 0.000 0.000
3 Pu 0.750 0.750 0.750
4 N 0.500 0.500 0.500

=====

Entry 6:
Computed, not measured: a relaxed La3Nd2Y6Sc crystal at the PBE level of DFT.

Energy relative to the elements = 25 meV/atom
Total magnetic moment = 0.00 μB/f.u.
Calculated total energy = -69.1 eV/f.u.

Cell: 6.249 6.249 11.907 Å, 95.02 95.02 120.02°
Fractional coordinates of all 12 atoms:
1 Nd 0.334 0.666 0.000
2 Nd 0.666 0.334 0.000
3 La 0.167 0.833 0.500
4 La 0.833 0.167 0.500
5 La 0.500 0.500 0.500
6 Y 0.081 0.411 0.245
7 Y 0.411 0.081 0.245
8 Y 0.589 0.919 0.755
9 Y 0.919 0.589 0.755
10 Y 0.249 0.249 0.755
11 Y 0.751 0.751 0.245
12 Sc 0.000 0.000 0.000

=====

Entry 7:
Computed, not measured: a relaxed ReSiSeN2 crystal at the PBE level of DFT.

Uncorrected formation energy = 1.1456 eV per atom
Total magnetic moment = 2.22 μB/f.u.
Calculated total energy = -32.3 eV/f.u.

Cell: 3.471 3.471 6.972 Å, 90.00 90.00 90.00°
Fractional coordinates of all 5 atoms:
1 Se 0.000 0.000 0.500
2 N 0.000 0.500 0.000
3 N 0.500 0.000 0.000
4 Si 0.000 0.000 0.000
5 Re 0.500 0.500 0.500

=====

Entry 8:
Computed, not measured: a relaxed ZrTc2O crystal at the PBE level of DFT.

Uncorrected formation energy = -0.3605 eV per atom
Total magnetic moment = 0.00 μB/f.u.
Calculated total energy = -35.7 eV/f.u.

Cell: 7.143 7.143 5.547 Å, 49.92 49.92 90.00°
Fractional coordinates of all 8 atoms:
1 Zr 0.750 0.250 0.500
2 Zr 0.000 0.000 0.000
3 Tc 0.875 0.771 0.750
4 Tc 0.229 0.625 0.250
5 Tc 0.521 0.125 0.250
6 Tc 0.375 0.479 0.750
7 O 0.500 0.500 0.000
8 O 0.250 0.750 0.500

=====

Entry 9:
Computed, not measured: a relaxed Nd4YTl crystal at the PBE level of DFT.

Energy relative to the elements = -27 meV/atom
Total magnetic moment = 0.00 μB/f.u.
Calculated total energy = -28.1 eV/f.u.

Cell: 6.616 9.199 8.505 Å, 112.87 100.21 113.04°
Fractional coordinates of all 12 atoms:
1 Nd 0.242 0.286 0.380
2 Nd 0.215 0.593 0.757
3 Nd 0.958 0.835 0.243
4 Nd 0.042 0.165 0.757
5 Nd 0.785 0.407 0.243
6 Nd 0.363 0.907 0.620
7 Nd 0.758 0.714 0.620
8 Nd 0.637 0.093 0.380
9 Y 0.663 0.413 0.825
10 Y 0.337 0.587 0.175
11 Tl 0.250 0.000 0.001
12 Tl 0.750 0.000 0.999

=====

Entry 10:
Computed, not measured: a relaxed MoIrRh2 crystal at the PBE level of DFT.

Energy relative to the elements = -196 meV/atom
Total magnetic moment = 0.00 μB/f.u.
Calculated total energy = -35.2 eV/f.u.

Cell: 4.393 2.760 4.799 Å, 89.99 90.00 90.00°
Fractional coordinates of all 4 atoms:
1 Ir 0.000 0.625 0.460
2 Mo 0.500 0.625 0.785
3 Rh 0.000 0.125 0.963
4 Rh 0.500 0.125 0.292

=====

Entry 11:
Computed, not measured: a relaxed La2PrCu crystal at the PBE level of DFT.

Energy relative to the elements = -62 meV/atom
Total magnetic moment = 0.00 μB/f.u.
Calculated total energy = -19.0 eV/f.u.

Cell: 6.642 7.177 10.418 Å, 90.00 90.00 90.00°
Fractional coordinates of all 16 atoms:
1 Cu 0.921 0.604 0.750
2 Cu 0.579 0.104 0.750
3 Cu 0.079 0.396 0.250
4 Cu 0.421 0.896 0.250
5 Pr 0.354 0.474 0.750
6 Pr 0.146 0.974 0.750
7 Pr 0.646 0.526 0.250
8 Pr 0.854 0.026 0.250
9 La 0.669 0.806 0.942
10 La 0.831 0.306 0.942
11 La 0.169 0.694 0.442
12 La 0.169 0.694 0.058
13 La 0.331 0.194 0.442
14 La 0.831 0.306 0.558
15 La 0.331 0.194 0.058
16 La 0.669 0.806 0.558

=====

Entry 12:
Computed, not measured: a relaxed Sc3SiBr crystal at the PBE level of DFT.

Uncorrected formation energy = -0.1056 eV per atom
Total magnetic moment = 0.00 μB/f.u.
Calculated total energy = -26.6 eV/f.u.

Cell: 5.101 5.101 5.101 Å, 90.00 90.00 90.00°
Fractional coordinates of all 5 atoms:
1 Sc 0.000 0.500 0.000
2 Sc 0.000 0.000 0.500
3 Sc 0.500 0.000 0.000
4 Br 0.500 0.500 0.500
5 Si 0.000 0.000 0.000

=====

Entry 13:
Computed, not measured: a relaxed HPbClO crystal at the PBE level of DFT.

Total magnetic moment = 0.00 μB/f.u.
Calculated total energy = -17.7 eV/f.u.

Cell: 3.696 7.905 9.927 Å, 90.00 90.00 90.00°
Fractional coordinates of all 16 atoms:
1 H 0.500 0.500 0.500
2 H 0.500 0.000 0.000
3 H 0.000 0.500 0.500
4 H 0.000 0.000 0.000
5 O 0.250 0.899 0.016
6 O 0.750 0.601 0.516
7 O 0.250 0.399 0.484
8 O 0.750 0.101 0.984
9 Cl 0.250 0.421 0.148
10 Cl 0.250 0.921 0.352
11 Cl 0.750 0.579 0.852
12 Cl 0.750 0.079 0.648
13 Pb 0.250 0.766 0.614
14 Pb 0.250 0.266 0.886
15 Pb 0.750 0.734 0.114
16 Pb 0.750 0.234 0.386

=====

Entry 14:
Computed, not measured: a relaxed AlMoH3 crystal at the PBE level of DFT.

Total magnetic moment = 0.00 μB/f.u.
Calculated total energy = -21.4 eV/f.u.

Cell: 3.377 3.377 3.377 Å, 90.00 90.00 90.00°
Fractional coordinates of all 5 atoms:
1 H 0.000 0.500 0.000
2 H 0.500 0.000 0.000
3 H 0.000 0.000 0.500
4 Al 0.000 0.000 0.000
5 Mo 0.500 0.500 0.500

=====

Entry 15:
Computed, not measured: a relaxed TbHo3Bi2 crystal at the PBE level of DFT.

Energy relative to the elements = -576 meV/atom
Total magnetic moment = 0.00 μB/f.u.
Calculated total energy = -29.6 eV/f.u.

Cell: 4.544 4.544 8.580 Å, 90.00 90.00 90.00°
Fractional coordinates of all 6 atoms:
1 Ho 0.000 0.500 0.655
2 Ho 0.000 0.000 0.000
3 Ho 0.500 0.000 0.345
4 Tb 0.500 0.500 0.000
5 Bi 0.500 0.000 0.714
6 Bi 0.000 0.500 0.286